Entry 1:
# Ce3DyTm2Sb6

Crystalline Ce3DyTm2Sb6 at its relaxed geometry (PBE, Alexandria).

Values from the calculation:
DOS(E_F): 19.94 states/eV per cell
energy relative to the elements, uncorrected: -1066 meV/atom

Cell: 7.674 7.674 7.660 Å, 99.62 99.62 119.99°
Last column: magnetic moment on the atom in μB.
Fractional coordinates of all 12 atoms:
1 Sb 0.745 0.745 0.241  -0.02
2 Sb 0.416 0.081 0.242  -0.02
3 Sb 0.081 0.416 0.242  -0.02
4 Sb 0.919 0.584 0.758  -0.02
5 Sb 0.584 0.919 0.758  -0.02
6 Sb 0.255 0.255 0.759  -0.02
7 Ce 0.500 0.500 0.500  0.76
8 Ce 0.166 0.834 0.500  0.76
9 Ce 0.834 0.166 0.500  0.76
10 Tm 0.667 0.333 0.000  -0.01
11 Tm 0.333 0.667 0.000  -0.01
12 Dy 0.000 0.000 0.000  0.00



Entry 2:
# PaCd2OsO8

Crystalline PaCd2OsO8 at its relaxed geometry (PBE, Alexandria).

Values from the calculation:
DOS(E_F): 2.50 states/eV per cell
energy relative to the elements, uncorrected: -1722 meV/atom

Cell: 5.036 5.033 6.715 Å, 90.00 90.00 91.56°
Last column: magnetic moment on the atom in μB.
Fractional coordinates of all 12 atoms:
1 Cd 0.500 0.500 0.243  0.01
2 Cd 0.500 0.500 0.757  0.01
3 O 0.178 0.822 0.220  0.05
4 O 0.822 0.178 0.780  0.05
5 O 0.261 0.262 0.000  -0.01
6 O 0.822 0.178 0.220  0.05
7 O 0.739 0.738 0.000  -0.01
8 O 0.289 0.289 0.500  0.00
9 O 0.711 0.711 0.500  0.00
10 O 0.178 0.822 0.780  0.05
11 Os 0.000 0.000 0.000  0.38
12 Pa 0.000 0.000 0.500  0.04



Entry 3:
# CeSi2Ni

Crystalline CeSi2Ni at its relaxed geometry (PBE, Alexandria).

Values from the calculation:
DOS(E_F): 12.78 states/eV per cell
energy relative to the elements, uncorrected: -780 meV/atom

Cell: 4.006 6.679 10.211 Å, 90.00 90.00 90.00°
Fractional coordinates of all 16 atoms:
1 Ce 0.750 0.660 0.625
2 Ce 0.250 0.840 0.125
3 Ce 0.250 0.340 0.375
4 Ce 0.750 0.160 0.875
5 Si 0.750 0.167 0.573
6 Si 0.250 0.335 0.672
7 Si 0.750 0.667 0.927
8 Si 0.250 0.333 0.073
9 Si 0.250 0.833 0.427
10 Si 0.250 0.835 0.828
11 Si 0.750 0.165 0.172
12 Si 0.750 0.665 0.328
13 Ni 0.750 0.504 0.133
14 Ni 0.250 0.496 0.867
15 Ni 0.750 0.004 0.367
16 Ni 0.250 0.996 0.633



Entry 4:
# Tb2ThCu6

Crystalline Tb2ThCu6 at its relaxed geometry (PBE, Alexandria).

Values from the calculation:
DOS(E_F): 6.17 states/eV per cell
energy of formation: -2.1 eV/f.u.

Cell: 3.593 7.401 7.401 Å, 120.00 90.00 90.00°
Fractional coordinates of all 9 atoms:
1 Cu 0.500 0.000 0.335
2 Cu 0.500 0.665 0.665
3 Cu 0.500 0.000 0.665
4 Cu 0.500 0.665 0.000
5 Cu 0.500 0.335 0.335
6 Cu 0.500 0.335 0.000
7 Tb 0.000 0.667 0.333
8 Tb 0.000 0.333 0.667
9 Th 0.000 0.000 0.000



Entry 5:
# Ti3As

Crystalline Ti3As at its relaxed geometry (PBE, Alexandria).

Values from the calculation:
DOS(E_F): 12.82 states/eV per cell
energy of formation: -2.7 eV/f.u.

Cell: 5.088 7.639 7.639 Å, 83.63 70.55 70.55°
Fractional coordinates of all 16 atoms:
1 Ti 0.635 0.188 0.974
2 Ti 0.497 0.668 0.385
3 Ti 0.440 0.601 0.033
4 Ti 0.958 0.967 0.601
5 Ti 0.550 0.332 0.615
6 Ti 0.118 0.385 0.332
7 Ti 0.177 0.026 0.188
8 Ti 0.835 0.615 0.668
9 Ti 0.797 0.812 0.026
10 Ti 0.526 0.033 0.399
11 Ti 0.391 0.974 0.812
12 Ti 0.075 0.399 0.967
13 As 0.989 0.747 0.328
14 As 0.064 0.253 0.672
15 As 0.683 0.328 0.253
16 As 0.264 0.672 0.747



Entry 6:
# TlCoSb2

Crystalline TlCoSb2 at its relaxed geometry (PBE, Alexandria).

Values from the calculation:
DOS(E_F): 4.44 states/eV per cell
energy relative to the elements, uncorrected: 624 meV/atom

Cell: 5.085 5.085 5.085 Å, 60.00 60.00 60.00°
Last column: magnetic moment on the atom in μB.
Fractional coordinates of all 4 atoms:
1 Tl 0.750 0.750 0.750  -0.03
2 Sb 0.000 0.000 0.000  -0.02
3 Sb 0.250 0.250 0.250  -0.06
4 Co 0.500 0.500 0.500  1.39



Entry 7:
# Cs2KClF2

Crystalline Cs2KClF2 at its relaxed geometry (PBE, Alexandria).

Values from the calculation:
DOS(E_F): 0.00 states/eV per cell
energy relative to the elements, uncorrected: -2376 meV/atom

Cell: 4.966 4.966 7.595 Å, 90.00 90.00 90.00°
Last column: magnetic moment on the atom in μB.
Fractional coordinates of all 6 atoms:
1 Cs 0.500 0.500 0.247  0.00
2 Cs 0.500 0.500 0.753  0.00
3 F 0.000 0.500 0.000  0.00
4 F 0.500 0.000 0.000  0.00
5 K 0.000 0.000 0.000  0.00
6 Cl 0.000 0.000 0.500  0.10



Entry 8:
# CuPt2F

Crystalline CuPt2F at its relaxed geometry (PBE, Alexandria).

Values from the calculation:
DOS(E_F): 9.13 states/eV per cell
energy relative to the elements, uncorrected: 147 meV/atom

Cell: 4.246 4.246 4.246 Å, 60.00 60.00 60.00°
Last column: magnetic moment on the atom in μB.
Fractional coordinates of all 4 atoms:
1 Pt 0.250 0.250 0.250  0.41
2 Pt 0.750 0.750 0.750  0.41
3 F 0.000 0.000 0.000  0.09
4 Cu 0.500 0.500 0.500  0.23



Entry 9:
# Tb9Ho2Tm

Crystalline Tb9Ho2Tm at its relaxed geometry (PBE, Alexandria).

Values from the calculation:
DOS(E_F): 17.59 states/eV per cell
energy of formation: 0.6 eV/f.u.

Cell: 3.480 11.189 11.189 Å, 120.00 90.00 90.00°
Fractional coordinates of all 12 atoms:
1 Tb 0.000 0.500 0.500
2 Tb 0.500 0.175 0.350
3 Tb 0.500 0.175 0.825
4 Tb 0.000 0.500 0.000
5 Tb 0.500 0.825 0.175
6 Tb 0.500 0.650 0.825
7 Tb 0.500 0.825 0.650
8 Tb 0.500 0.350 0.175
9 Tb 0.000 0.000 0.500
10 Tm 0.000 0.000 0.000
11 Ho 0.000 0.333 0.667
12 Ho 0.000 0.667 0.333



Entry 10:
# IrRh2Br

Crystalline IrRh2Br at its relaxed geometry (PBE, Alexandria).

Values from the calculation:
DOS(E_F): 10.06 states/eV per cell
energy relative to the elements, uncorrected: 847 meV/atom

Cell: 6.374 6.374 6.123 Å, 58.63 58.63 90.00°
Fractional coordinates of all 8 atoms:
1 Rh 0.375 0.356 0.750
2 Rh 0.106 0.625 0.250
3 Rh 0.644 0.125 0.250
4 Rh 0.875 0.894 0.750
5 Br 0.500 0.500 0.000
6 Br 0.250 0.750 0.500
7 Ir 0.000 0.000 0.000
8 Ir 0.750 0.250 0.500



Entry 11:
# TaAsPt2

Crystalline TaAsPt2 at its relaxed geometry (PBE, Alexandria).

Values from the calculation:
DOS(E_F): 2.72 states/eV per cell
energy of formation: -1.1 eV/f.u.

Cell: 6.173 4.963 2.932 Å, 90.03 61.59 118.77°
Fractional coordinates of all 4 atoms:
1 Ta 0.000 0.500 0.500
2 Pt 0.000 0.000 0.000
3 Pt 0.500 0.000 0.500
4 As 0.500 0.500 0.000



Entry 12:
# CaGdNi2

Crystalline CaGdNi2 at its relaxed geometry (PBE, Alexandria).

Values from the calculation:
DOS(E_F): 2.35 states/eV per cell
energy of formation: -0.7 eV/f.u.

Cell: 4.813 4.813 4.813 Å, 60.00 60.00 60.00°
Last column: magnetic moment on the atom in μB.
Fractional coordinates of all 4 atoms:
1 Ni 0.750 0.750 0.750  0.03
2 Ni 0.250 0.250 0.250  0.03
3 Ca 0.000 0.000 0.000  -0.01
4 Gd 0.500 0.500 0.500  -7.02



Entry 13:
# CeScReNi

Crystalline CeScReNi at its relaxed geometry (PBE, Alexandria).

Values from the calculation:
DOS(E_F): 2.50 states/eV per cell
energy of formation: -0.6 eV/f.u.

Cell: 4.709 4.709 4.709 Å, 60.00 60.00 60.00°
Fractional coordinates of all 4 atoms:
1 Ni 0.000 0.000 0.000
2 Re 0.500 0.500 0.500
3 Sc 0.250 0.250 0.250
4 Ce 0.750 0.750 0.750



Entry 14:
# Be2CdIr

Crystalline Be2CdIr at its relaxed geometry (PBE, Alexandria).

Values from the calculation:
DOS(E_F): 0.56 states/eV per cell
energy of formation: -0.3 eV/f.u.

Cell: 4.270 4.270 4.787 Å, 76.11 76.11 41.72°
Fractional coordinates of all 4 atoms:
1 Be 0.527 0.527 0.380
2 Be 0.973 0.973 0.120
3 Ir 0.250 0.250 0.250
4 Cd 0.750 0.750 0.750



Entry 15:
# Li2AlMo

Crystalline Li2AlMo at its relaxed geometry (PBE, Alexandria).

Values from the calculation:
DOS(E_F): 3.19 states/eV per cell
energy of formation: 0.1 eV/f.u.

Cell: 2.692 2.692 9.096 Å, 90.00 90.00 98.88°
Fractional coordinates of all 4 atoms:
1 Li 0.000 0.000 0.980
2 Li 0.500 0.500 0.264
3 Mo 0.000 0.000 0.515
4 Al 0.500 0.500 0.741



Entry 16:
# KRb2RuCl6

Crystalline KRb2RuCl6 at its relaxed geometry (PBE, Alexandria).

Values from the calculation:
DOS(E_F): 16.74 states/eV per cell
energy relative to the elements, uncorrected: -1367 meV/atom

Cell: 7.567 7.567 7.567 Å, 60.00 60.00 90.00°
Last column: magnetic moment on the atom in μB.
Fractional coordinates of all 10 atoms:
1 Cl 0.778 0.222 0.000  0.02
2 Cl 0.778 0.778 0.000  0.02
3 Cl 0.222 0.222 0.000  0.02
4 Cl 0.222 0.778 0.000  0.02
5 Cl 0.778 0.778 0.445  0.02
6 Cl 0.222 0.222 0.555  0.02
7 Rb 0.250 0.750 0.500  0.00
8 Rb 0.750 0.250 0.500  0.00
9 Ru 0.000 0.000 0.000  0.78
10 K 0.500 0.500 0.000  0.00